14
Lattice="-5.451 -0.781 4.864 -0.171 -5.594 -4.759 6.464 0.024 3.491" Properties=species:S:1:pos:R:3 comment="PBE Pu4GaTc2, optimized geometry" delta_e_f_ev_per_atom=0.086 pbc="T T T"
Ga 0.000 0.000 0.000
Ga -2.557 -3.377 2.141
Pu -1.063 -0.904 2.769
Pu -0.125 -4.727 1.138
Pu 1.538 -5.173 -2.206
Pu 4.070 -1.652 3.044
Pu 1.336 -1.899 5.490
Pu 1.767 -2.366 0.157
Pu -0.785 -4.089 4.583
Pu -3.366 -4.595 -0.593
Tc 0.987 -2.772 2.834
Tc 2.950 -5.431 0.218
Tc -0.398 -3.390 -1.327
Tc -1.854 -1.109 5.466

12
Lattice="5.418 0.000 0.000 2.709 4.692 0.000 2.709 1.564 8.830" Properties=species:S:1:pos:R:3 comment="PBE Pu3Ga7Tc2, optimized geometry" delta_e_f_ev_per_atom=-0.247 pbc="T T T"
Tc 5.418 3.128 8.791
Tc 5.418 3.128 0.038
Ga 5.418 4.716 2.101
Ga 5.418 3.128 4.415
Ga 6.793 3.922 6.729
Ga 4.043 2.334 2.101
Ga 6.793 2.334 2.101
Ga 4.043 3.922 6.729
Ga 5.418 1.540 6.729
Pu 0.000 0.000 0.000
Pu 2.709 1.564 4.905
Pu 8.127 4.692 3.925

9
Lattice="4.633 0.000 0.000 -2.316 5.123 0.025 0.000 1.696 7.079" Properties=species:S:1:pos:R:3 comment="PBE Pu6GaTc2, optimized geometry" delta_e_f_ev_per_atom=-0.038 e_above_lowest_polymorph_kj_per_mol_fu=0.0 pbc="T T T"
Pu 2.316 1.984 0.322
Pu 0.000 3.511 4.684
Pu 0.000 4.835 6.782
Pu 2.316 3.308 2.421
Pu 0.000 4.806 2.455
Pu 2.316 2.012 4.650
Tc 0.000 1.371 2.394
Tc 2.316 5.448 4.711
Ga 0.000 0.000 0.000

4
Lattice="-0.378 -4.635 -1.901 4.106 -2.385 -1.641 1.819 -3.921 2.560" Properties=species:S:1:pos:R:3 comment="PBE PuThGaTc, optimized geometry" delta_e_f_ev_per_atom=-0.099 pbc="T T T"
Th 1.387 -2.735 -0.245
Tc 0.000 0.000 0.000
Pu 4.160 -8.206 -0.736
Ga 2.773 -5.470 -0.491

4
Lattice="-2.919 2.913 2.213 -4.157 -1.543 1.496 -0.793 -0.517 4.583" Properties=species:S:1:pos:R:3 comment="PBE PuTiGaTc, optimized geometry" delta_e_f_ev_per_atom=-0.082 pbc="T T T"
Tc -3.934 0.426 4.146
Ti -1.967 0.213 2.073
Pu -5.902 0.639 6.219
Ga 0.000 0.000 0.000

4
Lattice="4.891 0.000 0.000 2.446 4.236 0.000 2.446 1.412 3.994" Properties=species:S:1:pos:R:3 comment="PBE TmPuGaTc, optimized geometry" delta_e_f_ev_per_atom=-0.126 pbc="T T T"
Tm 0.000 0.000 0.000
Ga 2.446 1.412 0.998
Tc 7.337 4.236 2.995
Pu 4.891 2.824 1.997

4
Lattice="-2.015 3.302 -2.691 -0.390 -0.665 -4.649 -4.230 -0.786 -1.921" Properties=species:S:1:pos:R:3 comment="PBE PuUGaTc, optimized geometry" delta_e_f_ev_per_atom=-0.139 pbc="T T T"
U -1.659 0.463 -2.315
Ga -4.976 1.389 -6.946
Pu 0.000 0.000 0.000
Tc -3.318 0.926 -4.631

80
Lattice="15.803 0.000 0.000 -5.268 14.899 0.000 -5.268 -7.450 12.903" Properties=species:S:1:pos:R:3 comment="PBE Pu5Ga3Te12, optimized geometry" total_energy_ha_per_atom=-0.2287 pbc="T T T"
Te 5.880 2.122 12.078
Te -5.880 0.346 10.653
Te 5.615 6.512 10.027
Te 7.290 7.796 2.250
Te 4.920 -1.703 4.201
Te -1.000 8.676 5.027
Te -5.308 6.135 12.277
Te 5.308 2.526 7.277
Te 10.188 0.765 5.826
Te 11.147 7.103 2.250
Te -1.634 4.967 11.452
Te 3.634 6.223 5.027
Te 11.535 3.710 3.576
Te -2.286 -0.765 5.826
Te 5.880 -1.776 11.478
Te 6.902 11.190 3.576
Te -1.634 -3.740 9.328
Te 0.348 9.153 8.702
Te -2.022 -0.346 10.653
Te -2.981 8.387 10.027
Te 7.861 3.840 5.001
Te 8.249 -0.938 2.876
Te 2.022 -2.122 12.078
Te 7.861 13.585 0.626
Te -0.041 4.924 5.626
Te 7.554 8.215 7.077
Te -0.612 9.225 1.425
Te 2.593 -2.526 7.277
Te 6.902 2.483 1.451
Te 2.286 5.747 8.702
Te 2.022 1.776 11.478
Te -4.268 12.416 1.451
Te -6.268 3.740 9.328
Te -2.593 -6.135 12.277
Te 2.674 9.975 5.626
Te -2.593 3.610 7.903
Te -5.227 11.059 5.001
Te -4.920 6.684 7.077
Te 6.268 -1.227 7.876
Te -0.612 5.328 0.825
Te -0.348 0.938 2.876
Te 1.634 1.227 7.876
Te 9.535 -4.967 11.452
Te 3.246 9.571 0.825
Te 3.246 5.674 1.425
Te 2.981 1.703 4.201
Te 10.495 -3.610 7.903
Te 10.576 1.314 0.626
Pu 2.634 3.725 6.452
Pu -1.317 3.725 3.226
Pu 1.317 -3.725 9.677
Pu 9.218 -0.931 8.064
Pu 5.268 7.450 0.000
Pu -1.317 0.931 8.064
Pu -1.317 12.106 1.613
Pu 6.585 6.518 4.839
Pu 0.000 0.000 0.000
Pu 6.585 -4.656 11.290
Pu -3.951 8.381 4.839
Pu 5.268 -3.725 6.452
Pu 3.951 11.174 3.226
Pu -5.268 3.725 6.452
Pu 7.902 0.000 0.000
Pu -2.634 -3.725 6.452
Pu 1.317 4.656 11.290
Pu -2.634 7.450 0.000
Pu 3.951 2.794 1.613
Pu 6.585 3.725 9.677
Ga 1.317 7.450 3.226
Ga -3.951 -2.794 11.290
Ga 9.218 10.243 1.613
Ga 11.852 0.000 3.226
Ga 3.951 0.000 9.677
Ga -6.585 7.450 9.677
Ga 3.951 8.381 8.064
Ga -1.317 6.518 8.064
Ga 6.585 0.931 4.839
Ga 1.317 -0.931 4.839
Ga 9.218 4.656 1.613
Ga -3.951 2.794 11.290

7
Lattice="4.458 0.000 0.000 0.000 7.669 0.011 -2.229 -3.743 6.759" Properties=species:S:1:pos:R:3 comment="PBE Pu2GaTe4, optimized geometry" total_energy_ha_per_atom=-0.2589 pbc="T T T"
Pu 2.229 3.925 3.452
Pu 0.000 0.002 3.318
Te 2.229 -1.160 5.102
Te 0.000 2.538 5.127
Te 0.000 5.087 1.668
Te 2.229 1.389 1.643
Ga 0.000 0.000 0.000

3
Lattice="-1.160 3.455 -0.733 -1.412 0.517 4.671 4.554 1.245 -1.339" Properties=species:S:1:pos:R:3 comment="PBE PuGaTe, optimized geometry" total_energy_ha_per_atom=-0.2642 pbc="T T T"
Pu 2.178 2.154 0.420
Te -0.390 3.638 2.057
Ga -0.967 2.879 -0.611

4
Lattice="5.214 0.000 0.000 2.607 4.515 0.000 2.607 1.505 4.257" Properties=species:S:1:pos:R:3 comment="PBE Pu2GaTe, optimized geometry" e_above_lowest_polymorph_kj_per_mol_fu=39.2 pbc="T T T"
Te 5.214 3.010 2.129
Pu 7.821 4.515 3.193
Pu 2.607 1.505 1.064
Ga 0.000 0.000 0.000

4
Lattice="-2.134 3.160 -0.890 -2.481 -0.857 2.906 3.596 3.591 4.129" Properties=species:S:1:pos:R:3 comment="PBE Pu2GaTe, optimized geometry" e_above_lowest_polymorph_kj_per_mol_fu=0.0 pbc="T T T"
Pu 0.856 0.855 0.983
Pu 2.740 2.736 3.146
Te -0.510 2.947 3.072
Ga -2.308 1.152 1.008

7
Lattice="6.086 0.000 0.000 0.000 6.086 0.000 0.000 0.000 7.241" Properties=species:S:1:pos:R:3 comment="PBE PuGa2Te4, optimized geometry" total_energy_ha_per_atom=-0.1861 pbc="T T T"
Te 1.657 1.657 1.992
Te 4.429 1.657 5.249
Te 4.429 4.429 1.992
Te 1.657 4.429 5.249
Pu 0.000 0.000 0.000
Ga 0.000 3.043 3.620
Ga 3.043 0.000 3.620

6
Lattice="-0.803 -3.878 4.017 -0.579 -5.433 -1.401 4.095 -3.680 1.225" Properties=species:S:1:pos:R:3 comment="PBE PuGa4Te, optimized geometry" total_energy_ha_per_atom=-0.1874 pbc="T T T"
Te 0.678 -3.248 0.960
Ga 2.103 -6.178 0.381
Ga 1.990 -5.395 3.110
Ga -0.364 -6.278 1.787
Ga 1.698 -8.132 2.404
Pu 0.000 0.000 0.000

80
Lattice="14.933 0.000 0.000 -4.978 14.079 0.000 -4.978 -7.039 12.192" Properties=species:S:1:pos:R:3 comment="PBE Pu3Ga5Te12, optimized geometry" total_energy_ha_per_atom=-0.1943 pbc="T T T"
Ga -1.244 3.520 3.048
Ga -1.244 11.439 1.524
Ga 4.978 -3.520 6.096
Ga 4.978 7.039 0.000
Ga 0.000 0.000 0.000
Ga 6.222 3.520 9.144
Ga 2.489 3.520 6.096
Ga 3.733 2.640 1.524
Ga 1.244 4.400 10.668
Ga 8.711 -0.880 7.620
Ga -4.978 3.520 6.096
Ga 6.222 6.159 4.572
Ga -2.489 7.039 0.000
Ga 7.466 0.000 0.000
Ga 6.222 -4.400 10.668
Ga -1.244 0.880 7.620
Ga 1.244 -3.520 9.144
Ga -3.733 7.919 4.572
Ga 3.733 10.559 3.048
Ga -2.489 -3.520 6.096
Te 2.596 -2.357 7.172
Te 1.890 1.860 11.121
Te 3.087 8.897 1.076
Te 6.834 7.809 6.566
Te 4.870 2.357 7.172
Te 3.612 5.922 5.025
Te -1.856 -0.770 5.627
Te -1.365 -3.793 8.712
Te 9.848 1.513 0.469
Te 3.087 5.179 1.071
Te -1.365 4.911 10.647
Te 5.576 -1.860 11.121
Te -2.596 -5.526 11.723
Te 8.099 -0.968 2.616
Te 6.343 2.129 1.545
Te 3.121 1.738 3.950
Te -0.598 5.182 1.076
Te 5.576 1.858 11.117
Te 6.868 7.037 2.147
Te -6.101 3.793 8.712
Te 4.345 -1.738 3.950
Te 8.831 -4.911 10.647
Te -2.596 3.170 7.641
Te -4.870 5.526 11.723
Te -3.854 11.950 1.545
Te 7.574 3.870 4.551
Te -5.085 10.209 4.551
Te -0.598 8.900 1.071
Te -1.124 8.157 5.025
Te -3.121 8.007 9.576
Te 6.101 -1.117 7.167
Te -0.633 0.968 2.616
Te -1.890 0.003 10.046
Te 6.343 10.833 3.480
Te 10.553 7.042 2.147
Te 9.322 0.770 5.627
Te 2.381 9.396 5.021
Te 1.856 5.301 8.243
Te 1.890 -1.858 11.117
Te 7.574 12.566 0.469
Te 5.610 6.071 9.576
Te 11.079 3.246 3.480
Te -4.345 6.269 6.566
Te 0.107 4.683 5.021
Te -5.576 -0.003 10.046
Te 1.365 1.117 7.167
Te 10.062 -3.170 7.641
Te 0.633 8.777 8.243
Pu -6.222 7.039 9.144
Pu 3.733 0.000 9.144
Pu -1.244 6.159 7.620
Pu 1.244 -0.880 4.572
Pu 11.199 0.000 3.048
Pu -3.733 2.640 10.668
Pu 8.711 9.679 1.524
Pu 8.711 4.400 1.524
Pu 6.222 0.880 4.572
Pu 1.244 7.039 3.048
Pu -3.733 -2.640 10.668
Pu 3.733 7.919 7.620

16
Lattice="9.144 -0.062 -0.058 -0.069 9.144 -0.058 -4.493 -4.496 6.478" Properties=species:S:1:pos:R:3 comment="PBE PuTl2GaTe4, optimized geometry" total_energy_ha_per_atom=-0.1757 pbc="T T T"
Te 0.052 0.278 3.005
Te 4.550 0.240 3.322
Te 2.570 2.345 6.185
Te 4.532 4.308 3.356
Te -2.507 2.392 6.278
Te 2.013 2.241 0.176
Te 7.090 2.194 0.083
Te 0.034 4.346 3.039
Pu -0.034 4.572 -0.029
Pu 6.864 2.262 3.151
Tl 2.326 -2.279 3.210
Tl 4.538 4.541 -0.058
Tl 4.572 -0.031 -0.029
Tl -2.246 -2.248 3.239
Ga 4.652 -4.558 6.420
Ga 2.292 2.293 3.181

9
Lattice="-1.059 1.405 3.070 -6.514 -4.446 -0.213 6.525 -2.726 3.499" Properties=species:S:1:pos:R:3 comment="PBE Pu2ThGa6, optimized geometry" delta_e_f_ev_per_atom=-0.415 e_above_lowest_polymorph_kj_per_mol_fu=0.0 pbc="T T T"
Ga 1.669 -4.977 4.892
Ga -0.522 -4.061 3.717
Ga -4.852 -4.660 2.497
Ga 3.804 -1.108 3.858
Ga -0.526 -1.707 2.639
Ga -2.717 -0.791 1.463
Pu -3.227 -2.468 4.094
Pu 2.179 -3.300 2.262
Th 6.525 -2.726 3.499

3
Lattice="-1.228 1.593 2.712 -4.351 -2.524 -0.487 3.733 -1.918 2.816" Properties=species:S:1:pos:R:3 comment="PBE PuThGa, optimized geometry" delta_e_f_ev_per_atom=-0.102 e_above_lowest_polymorph_kj_per_mol_fu=45.6 pbc="T T T"
Ga -0.052 0.067 0.115
Pu 0.686 -1.664 2.492
Th -2.481 -1.253 2.434